# MgFeGe2N PBE optimized geometry
data_MgFeGe2N
_space_group_name_H-M_alt 'P 4/m m m'
_space_group_IT_number 123
_space_group_name_Hall '-P 4 2'
_cell_length_a 4.9288
_cell_length_b 4.9288
_cell_length_c 3.4112
_cell_angle_alpha 90.00
_cell_angle_beta 90.00
_cell_angle_gamma 90.00
loop_
_atom_site_label
_atom_site_type_symbol
_atom_site_fract_x
_atom_site_fract_y
_atom_site_fract_z
_atom_site_occupancy
Mg1 Mg 0.0000 0.0000 0.0000 1
Fe1 Fe 0.5000 0.5000 0.5000 1
Ge1 Ge 0.0000 0.5000 0.5000 1
N1 N 0.5000 0.5000 0.0000 1
# DFT total energy = -5.25 eV/atom
# ΔE_f (raw) = 0.275 eV per atom
# total moment = 0.01 μB per formula unit

---

# Re3AsBr PBE optimized geometry
data_Re3AsBr
_space_group_name_H-M_alt 'P m -3 m'
_space_group_IT_number 221
_space_group_name_Hall '-P 4 2 3'
_cell_length_a 4.6278
_cell_length_b 4.6278
_cell_length_c 4.6278
_cell_angle_alpha 90.00
_cell_angle_beta 90.00
_cell_angle_gamma 90.00
loop_
_atom_site_label
_atom_site_type_symbol
_atom_site_fract_x
_atom_site_fract_y
_atom_site_fract_z
_atom_site_occupancy
Re1 Re 0.0000 0.0000 0.5000 1
As1 As 0.0000 0.0000 0.0000 1
Br1 Br 0.5000 0.5000 0.5000 1
# DFT total energy = -6.56 eV/atom
# ΔE_f (raw) = 2.173 eV per atom
# total moment = 0.00 μB per formula unit